# 1
# Li2ZnPb, relaxed, DFT PBE
# Energy of formation from the pure elements ... -0.6 eV per formula unit
data_Li2ZnPb
_chemical_formula_sum 'Li2 Zn1 Pb1'
_cell_length_a 3.556
_cell_length_b 3.556
_cell_length_c 6.184
_cell_angle_alpha 90.00
_cell_angle_beta 90.00
_cell_angle_gamma 90.09
_symmetry_space_group_name_H-M 'P 1'
_symmetry_Int_Tables_number 1
_symmetry_space_group_name_Hall 'P 1'
loop_
_atom_site_label
_atom_site_type_symbol
_atom_site_fract_x
_atom_site_fract_y
_atom_site_fract_z
Li1 Li 0.000 0.000 0.000
Li2 Li 0.500 0.500 0.255
Zn1 Zn 0.500 0.500 0.807
Pb1 Pb 0.000 0.000 0.512

# 2
# PaNbOs2, relaxed, DFT PBE
# Energy of formation from the pure elements ... -0.2 eV per formula unit
# Distance to the lowest polymorph of the same formula ... 221 meV/atom
data_PaNbOs2
_chemical_formula_sum 'Pa1 Nb1 Os2'
_cell_length_a 5.377
_cell_length_b 5.377
_cell_length_c 5.377
_cell_angle_alpha 47.76
_cell_angle_beta 47.76
_cell_angle_gamma 47.76
_symmetry_space_group_name_H-M 'P 1'
_symmetry_Int_Tables_number 1
_symmetry_space_group_name_Hall 'P 1'
loop_
_atom_site_label
_atom_site_type_symbol
_atom_site_fract_x
_atom_site_fract_y
_atom_site_fract_z
Pa1 Pa 0.000 0.000 0.000
Nb1 Nb 0.500 0.500 0.500
Os1 Os 0.225 0.225 0.225
Os2 Os 0.775 0.775 0.775

# 3
# PmSmDy2Er4, relaxed, DFT PBE
# Energy of formation from the pure elements ... 3.5 eV per formula unit
data_PmSmDy2Er4
_chemical_formula_sum 'Pm2 Sm2 Dy4 Er8'
_cell_length_a 9.471
_cell_length_b 9.471
_cell_length_c 6.780
_cell_angle_alpha 110.97
_cell_angle_beta 110.97
_cell_angle_gamma 88.62
_symmetry_space_group_name_H-M 'P 1'
_symmetry_Int_Tables_number 1
_symmetry_space_group_name_Hall 'P 1'
loop_
_atom_site_label
_atom_site_type_symbol
_atom_site_fract_x
_atom_site_fract_y
_atom_site_fract_z
Pm1 Pm 0.000 0.500 0.000
Pm2 Pm 0.500 0.000 0.500
Sm1 Sm 0.000 0.000 0.000
Sm2 Sm 0.000 0.000 0.500
Dy1 Dy 0.000 0.500 0.500
Dy2 Dy 0.500 0.000 0.000
Dy3 Dy 0.500 0.500 0.000
Dy4 Dy 0.500 0.500 0.500
Er1 Er 0.251 0.253 0.503
Er2 Er 0.252 0.748 0.501
Er3 Er 0.252 0.748 0.999
Er4 Er 0.253 0.251 0.003
Er5 Er 0.747 0.749 0.997
Er6 Er 0.748 0.252 0.001
Er7 Er 0.748 0.252 0.499
Er8 Er 0.749 0.747 0.497

# 4
# TbPr3Mg, relaxed, DFT PBE
# Energy of formation from the pure elements ... -0.1 eV per formula unit
# Distance to the lowest polymorph of the same formula ... 0 meV/atom
data_TbPr3Mg
_chemical_formula_sum 'Tb2 Pr6 Mg2'
_cell_length_a 10.124
_cell_length_b 10.124
_cell_length_c 9.018
_cell_angle_alpha 103.77
_cell_angle_beta 103.77
_cell_angle_gamma 21.51
_symmetry_space_group_name_H-M 'P 1'
_symmetry_Int_Tables_number 1
_symmetry_space_group_name_Hall 'P 1'
loop_
_atom_site_label
_atom_site_type_symbol
_atom_site_fract_x
_atom_site_fract_y
_atom_site_fract_z
Tb1 Tb 0.206 0.206 0.334
Tb2 Tb 0.794 0.794 0.666
Pr1 Pr 0.004 0.004 0.775
Pr2 Pr 0.188 0.188 0.874
Pr3 Pr 0.398 0.398 0.461
Pr4 Pr 0.602 0.602 0.539
Pr5 Pr 0.812 0.812 0.126
Pr6 Pr 0.996 0.996 0.225
Mg1 Mg 0.400 0.400 0.928
Mg2 Mg 0.600 0.600 0.072

# 5
# ReSnO2, relaxed, DFT PBE
# Raw formation energy ... -2.725 eV/f.u.
data_ReSnO2
_chemical_formula_sum 'Re1 Sn1 O2'
_cell_length_a 7.562
_cell_length_b 7.562
_cell_length_c 7.562
_cell_angle_alpha 22.19
_cell_angle_beta 22.19
_cell_angle_gamma 22.19
_symmetry_space_group_name_H-M 'P 1'
_symmetry_Int_Tables_number 1
_symmetry_space_group_name_Hall 'P 1'
loop_
_atom_site_label
_atom_site_type_symbol
_atom_site_fract_x
_atom_site_fract_y
_atom_site_fract_z
Re1 Re 0.000 0.000 0.000
Sn1 Sn 0.500 0.500 0.500
O1 O 0.393 0.393 0.393
O2 O 0.607 0.607 0.607

# 6
# TbDyTm2, relaxed, DFT PBE
# Energy of formation from the pure elements ... 0.5 eV per formula unit
# Distance to the lowest polymorph of the same formula ... 128 meV/atom
data_TbDyTm2
_chemical_formula_sum 'Tb1 Dy1 Tm2'
_cell_length_a 5.608
_cell_length_b 5.608
_cell_length_c 5.608
_cell_angle_alpha 60.00
_cell_angle_beta 60.00
_cell_angle_gamma 60.00
_symmetry_space_group_name_H-M 'P 1'
_symmetry_Int_Tables_number 1
_symmetry_space_group_name_Hall 'P 1'
loop_
_atom_site_label
_atom_site_type_symbol
_atom_site_fract_x
_atom_site_fract_y
_atom_site_fract_z
Tb1 Tb 0.000 0.000 0.000
Dy1 Dy 0.500 0.500 0.500
Tm1 Tm 0.250 0.250 0.250
Tm2 Tm 0.750 0.750 0.750

# 7
# MnZnFe2N, relaxed, DFT PBE
# Raw formation energy ... -0.739 eV/f.u.
data_MnZnFe2N
_chemical_formula_sum 'Mn1 Zn1 Fe2 N1'
_cell_length_a 3.786
_cell_length_b 3.786
_cell_length_c 3.749
_cell_angle_alpha 90.00
_cell_angle_beta 90.00
_cell_angle_gamma 90.00
_symmetry_space_group_name_H-M 'P 1'
_symmetry_Int_Tables_number 1
_symmetry_space_group_name_Hall 'P 1'
loop_
_atom_site_label
_atom_site_type_symbol
_atom_site_fract_x
_atom_site_fract_y
_atom_site_fract_z
Mn1 Mn 0.000 0.000 0.000
Zn1 Zn 0.500 0.500 0.000
Fe1 Fe 0.000 0.500 0.500
Fe2 Fe 0.500 0.000 0.500
N1 N 0.000 0.000 0.500

# 8
# Ni2IrBr, relaxed, DFT PBE
# Raw formation energy ... 3.212 eV/f.u.
# Distance to the lowest polymorph of the same formula ... 437 meV/atom
data_Ni2IrBr
_chemical_formula_sum 'Ni2 Ir1 Br1'
_cell_length_a 2.872
_cell_length_b 4.380
_cell_length_c 4.551
_cell_angle_alpha 90.00
_cell_angle_beta 90.00
_cell_angle_gamma 90.00
_symmetry_space_group_name_H-M 'P 1'
_symmetry_Int_Tables_number 1
_symmetry_space_group_name_Hall 'P 1'
loop_
_atom_site_label
_atom_site_type_symbol
_atom_site_fract_x
_atom_site_fract_y
_atom_site_fract_z
Ni1 Ni 0.000 0.000 0.000
Ni2 Ni 0.500 0.000 0.500
Ir1 Ir 0.000 0.500 0.500
Br1 Br 0.500 0.500 0.000

# 9
# TiHg2Cl4, relaxed, DFT PBE
# Raw formation energy ... -6.929 eV/f.u.
data_TiHg2Cl4
_chemical_formula_sum 'Ti1 Hg2 Cl4'
_cell_length_a 11.561
_cell_length_b 11.561
_cell_length_c 11.561
_cell_angle_alpha 156.19
_cell_angle_beta 156.19
_cell_angle_gamma 33.92
_symmetry_space_group_name_H-M 'P 1'
_symmetry_Int_Tables_number 1
_symmetry_space_group_name_Hall 'P 1'
loop_
_atom_site_label
_atom_site_type_symbol
_atom_site_fract_x
_atom_site_fract_y
_atom_site_fract_z
Ti1 Ti 0.000 0.000 0.000
Hg1 Hg 0.254 0.254 0.000
Hg2 Hg 0.746 0.746 0.000
Cl1 Cl 0.000 0.500 0.500
Cl2 Cl 0.103 0.103 0.000
Cl3 Cl 0.500 0.000 0.500
Cl4 Cl 0.897 0.897 0.000

# 10
# Pm2TmRh3, relaxed, DFT PBE
# Energy of formation from the pure elements ... -4.6 eV per formula unit
# Distance to the lowest polymorph of the same formula ... 0 meV/atom
data_Pm2TmRh3
_chemical_formula_sum 'Pm2 Tm1 Rh3'
_cell_length_a 3.460
_cell_length_b 3.460
_cell_length_c 10.488
_cell_angle_alpha 90.00
_cell_angle_beta 90.00
_cell_angle_gamma 90.00
_symmetry_space_group_name_H-M 'P 1'
_symmetry_Int_Tables_number 1
_symmetry_space_group_name_Hall 'P 1'
loop_
_atom_site_label
_atom_site_type_symbol
_atom_site_fract_x
_atom_site_fract_y
_atom_site_fract_z
Pm1 Pm 0.000 0.000 0.170
Pm2 Pm 0.000 0.000 0.830
Tm1 Tm 0.000 0.000 0.500
Rh1 Rh 0.500 0.500 0.000
Rh2 Rh 0.500 0.500 0.345
Rh3 Rh 0.500 0.500 0.655

# 11
# CaY2InP, relaxed, DFT PBE
# Energy of formation from the pure elements ... 3.5 eV per formula unit
# Distance to the lowest polymorph of the same formula ... 1397 meV/atom
data_CaY2InP
_chemical_formula_sum 'Ca1 Y2 In1 P1'
_cell_length_a 5.624
_cell_length_b 5.624
_cell_length_c 5.074
_cell_angle_alpha 90.00
_cell_angle_beta 90.00
_cell_angle_gamma 90.00
_symmetry_space_group_name_H-M 'P 1'
_symmetry_Int_Tables_number 1
_symmetry_space_group_name_Hall 'P 1'
loop_
_atom_site_label
_atom_site_type_symbol
_atom_site_fract_x
_atom_site_fract_y
_atom_site_fract_z
Ca1 Ca 0.000 0.000 0.000
Y1 Y 0.000 0.500 0.000
Y2 Y 0.500 0.000 0.000
In1 In 0.500 0.500 0.500
P1 P 0.000 0.000 0.500

# 12
# NbFe3Ge, relaxed, DFT PBE
# Energy of formation from the pure elements ... 4.3 eV per formula unit
# Distance to the lowest polymorph of the same formula ... 299 meV/atom
data_NbFe3Ge
_chemical_formula_sum 'Nb1 Fe3 Ge1'
_cell_length_a 4.326
_cell_length_b 4.326
_cell_length_c 4.326
_cell_angle_alpha 90.00
_cell_angle_beta 90.00
_cell_angle_gamma 90.00
_symmetry_space_group_name_H-M 'P 1'
_symmetry_Int_Tables_number 1
_symmetry_space_group_name_Hall 'P 1'
loop_
_atom_site_label
_atom_site_type_symbol
_atom_site_fract_x
_atom_site_fract_y
_atom_site_fract_z
Nb1 Nb 0.000 0.000 0.000
Fe1 Fe 0.000 0.500 0.500
Fe2 Fe 0.500 0.000 0.500
Fe3 Fe 0.500 0.500 0.000
Ge1 Ge 0.500 0.500 0.500